1.
# Ta2PSe (GGA-PBE, relaxed)
data_Ta2PSe
_chemical_formula_sum 'Ta4 P2 Se2'
_cell_length_a 3.1371
_cell_length_b 4.3675
_cell_length_c 10.1951
_cell_angle_alpha 90.00
_cell_angle_beta 90.00
_cell_angle_gamma 90.00
_space_group_name_H-M_alt 'I m m 2'
_space_group_IT_number 44
_space_group_name_Hall 'I 2 -2'
loop_
_atom_site_label
_atom_site_type_symbol
_atom_site_fract_x
_atom_site_fract_y
_atom_site_fract_z
Ta1 Ta 0.0000 0.0000 0.0000
Ta2 Ta 0.0000 0.5000 0.2066
P1 P 0.0000 0.0000 0.5101
Se1 Se 0.0000 0.5000 0.7149
# - crystal system = orthorhombic
# - uncorrected formation energy (eV per formula unit) = -0.98
# - energy above the lowest structure with this stoichiometry (eV per formula unit) = 1.17
# - total magnetic moment (μB/f.u.) = 0.000

=====

2.
# TaP2Se (GGA-PBE, relaxed)
data_TaP2Se
_chemical_formula_sum 'Ta3 P6 Se3'
_cell_length_a 3.2254
_cell_length_b 3.2254
_cell_length_c 25.7961
_cell_angle_alpha 90.00
_cell_angle_beta 90.00
_cell_angle_gamma 120.00
_space_group_name_H-M_alt 'R 3 m'
_space_group_IT_number 160
_space_group_name_Hall 'R 3 -2"'
loop_
_atom_site_label
_atom_site_type_symbol
_atom_site_fract_x
_atom_site_fract_y
_atom_site_fract_z
Ta1 Ta 0.0000 0.0000 0.0000
P1 P 0.0000 0.0000 0.4644
P2 P 0.0000 0.0000 0.7446
Se1 Se 0.0000 0.0000 0.2649
# - crystal system = trigonal
# - uncorrected formation energy (eV per formula unit) = -0.43
# - total magnetic moment (μB/f.u.) = 0.000

=====

3.
# Ta2PSe (GGA-PBE, relaxed)
data_Ta2PSe
_chemical_formula_sum 'Ta8 P4 Se4'
_cell_length_a 6.4896
_cell_length_b 6.4896
_cell_length_c 6.4896
_cell_angle_alpha 90.00
_cell_angle_beta 90.00
_cell_angle_gamma 90.00
_space_group_name_H-M_alt 'F -4 3 m'
_space_group_IT_number 216
_space_group_name_Hall 'F -4 2 3'
loop_
_atom_site_label
_atom_site_type_symbol
_atom_site_fract_x
_atom_site_fract_y
_atom_site_fract_z
Ta1 Ta 0.0000 0.0000 0.0000
Ta2 Ta 0.2500 0.2500 0.2500
P1 P 0.0000 0.0000 0.5000
Se1 Se 0.2500 0.2500 0.7500
# - crystal system = cubic
# - uncorrected formation energy (eV per formula unit) = 1.53
# - energy above the lowest structure with this stoichiometry (eV per formula unit) = 3.67
# - total magnetic moment (μB/f.u.) = 0.000

=====

4.
# TaP3Se (GGA-PBE, relaxed)
data_TaP3Se
_chemical_formula_sum 'Ta1 P3 Se1'
_cell_length_a 4.5693
_cell_length_b 4.5693
_cell_length_c 4.5693
_cell_angle_alpha 90.00
_cell_angle_beta 90.00
_cell_angle_gamma 90.00
_space_group_name_H-M_alt 'P m -3 m'
_space_group_IT_number 221
_space_group_name_Hall '-P 4 2 3'
loop_
_atom_site_label
_atom_site_type_symbol
_atom_site_fract_x
_atom_site_fract_y
_atom_site_fract_z
Ta1 Ta 0.0000 0.0000 0.0000
P1 P 0.0000 0.5000 0.5000
Se1 Se 0.5000 0.5000 0.5000
# - crystal system = cubic
# - uncorrected formation energy (eV per formula unit) = 6.45
# - energy above the lowest structure with this stoichiometry (eV per formula unit) = 3.54
# - total magnetic moment (μB/f.u.) = 0.042

=====

5.
# Ta2PSe (GGA-PBE, relaxed)
data_Ta2PSe
_chemical_formula_sum 'Ta4 P2 Se2'
_cell_length_a 9.0245
_cell_length_b 3.2358
_cell_length_c 4.6552
_cell_angle_alpha 90.00
_cell_angle_beta 104.09
_cell_angle_gamma 90.00
_space_group_name_H-M_alt 'C 1 m 1'
_space_group_IT_number 8
_space_group_name_Hall 'C -2y'
loop_
_atom_site_label
_atom_site_type_symbol
_atom_site_fract_x
_atom_site_fract_y
_atom_site_fract_z
Ta1 Ta 0.0000 0.0000 0.0000
Ta2 Ta 0.2306 0.0000 0.6214
P1 P 0.0047 0.5000 0.5260
Se1 Se 0.2368 0.5000 0.1504
# - crystal system = monoclinic
# - uncorrected formation energy (eV per formula unit) = -1.66
# - energy above the lowest structure with this stoichiometry (eV per formula unit) = 0.48
# - total magnetic moment (μB/f.u.) = 0.000

=====

6.
# Ta2P2Se (GGA-PBE, relaxed)
data_Ta2P2Se
_chemical_formula_sum 'Ta4 P4 Se2'
_cell_length_a 3.4393
_cell_length_b 3.4393
_cell_length_c 13.7353
_cell_angle_alpha 90.00
_cell_angle_beta 90.00
_cell_angle_gamma 90.00
_space_group_name_H-M_alt 'I 4/m m m'
_space_group_IT_number 139
_space_group_name_Hall '-I 4 2'
loop_
_atom_site_label
_atom_site_type_symbol
_atom_site_fract_x
_atom_site_fract_y
_atom_site_fract_z
Ta1 Ta 0.0000 0.0000 0.1166
P1 P 0.0000 0.5000 0.2500
Se1 Se 0.0000 0.0000 0.5000
# - crystal system = tetragonal
# - uncorrected formation energy (eV per formula unit) = -0.93
# - energy above the lowest structure with this stoichiometry (eV per formula unit) = 1.69
# - total magnetic moment (μB/f.u.) = 0.000

=====

7.
# Ta2PSe (GGA-PBE, relaxed)
data_Ta2PSe
_chemical_formula_sum 'Ta2 P1 Se1'
_cell_length_a 3.1608
_cell_length_b 3.1608
_cell_length_c 6.4291
_cell_angle_alpha 90.00
_cell_angle_beta 90.00
_cell_angle_gamma 90.00
_space_group_name_H-M_alt 'P 4/m m m'
_space_group_IT_number 123
_space_group_name_Hall '-P 4 2'
loop_
_atom_site_label
_atom_site_type_symbol
_atom_site_fract_x
_atom_site_fract_y
_atom_site_fract_z
Ta1 Ta 0.0000 0.0000 0.2247
P1 P 0.5000 0.5000 0.0000
Se1 Se 0.5000 0.5000 0.5000
# - crystal system = tetragonal
# - uncorrected formation energy (eV per formula unit) = -1.59
# - energy above the lowest structure with this stoichiometry (eV per formula unit) = 0.55
# - total magnetic moment (μB/f.u.) = 0.000

=====

8.
# TaP2Se (GGA-PBE, relaxed)
data_TaP2Se
_chemical_formula_sum 'Ta3 P6 Se3'
_cell_length_a 3.2603
_cell_length_b 3.2603
_cell_length_c 22.4738
_cell_angle_alpha 90.00
_cell_angle_beta 90.00
_cell_angle_gamma 120.00
_space_group_name_H-M_alt 'R -3 m'
_space_group_IT_number 166
_space_group_name_Hall '-R 3 2"'
loop_
_atom_site_label
_atom_site_type_symbol
_atom_site_fract_x
_atom_site_fract_y
_atom_site_fract_z
Ta1 Ta 0.0000 0.0000 0.0000
P1 P 0.0000 0.0000 0.2576
Se1 Se 0.0000 0.0000 0.5000
# - crystal system = trigonal
# - uncorrected formation energy (eV per formula unit) = 0.07
# - total magnetic moment (μB/f.u.) = 0.000

=====

9.
# TaP2Se2 (GGA-PBE, relaxed)
data_TaP2Se2
_chemical_formula_sum 'Ta2 P4 Se4'
_cell_length_a 3.1895
_cell_length_b 3.1895
_cell_length_c 22.6360
_cell_angle_alpha 90.00
_cell_angle_beta 90.00
_cell_angle_gamma 90.00
_space_group_name_H-M_alt 'I 4/m m m'
_space_group_IT_number 139
_space_group_name_Hall '-I 4 2'
loop_
_atom_site_label
_atom_site_type_symbol
_atom_site_fract_x
_atom_site_fract_y
_atom_site_fract_z
Ta1 Ta 0.0000 0.0000 0.0000
P1 P 0.0000 0.5000 0.2500
Se1 Se 0.0000 0.0000 0.4299
# - crystal system = tetragonal
# - uncorrected formation energy (eV per formula unit) = -0.54
# - energy above the lowest structure with this stoichiometry (eV per formula unit) = 0.00
# - total magnetic moment (μB/f.u.) = 0.000

=====

10.
# TaP2Se (GGA-PBE, relaxed)
data_TaP2Se
_chemical_formula_sum 'Ta1 P2 Se1'
_cell_length_a 3.1525
_cell_length_b 3.1525
_cell_length_c 7.6706
_cell_angle_alpha 90.00
_cell_angle_beta 90.00
_cell_angle_gamma 90.00
_space_group_name_H-M_alt 'P 4 m m'
_space_group_IT_number 99
_space_group_name_Hall 'P 4 -2'
loop_
_atom_site_label
_atom_site_type_symbol
_atom_site_fract_x
_atom_site_fract_y
_atom_site_fract_z
Ta1 Ta 0.0000 0.0000 0.0000
P1 P 0.0000 0.0000 0.3392
P2 P 0.5000 0.5000 0.1948
Se1 Se 0.5000 0.5000 0.7930
# - crystal system = tetragonal
# - uncorrected formation energy (eV per formula unit) = -1.09
# - total magnetic moment (μB/f.u.) = 0.000

=====

11.
# Ta2PSe (GGA-PBE, relaxed)
data_Ta2PSe
_chemical_formula_sum 'Ta4 P2 Se2'
_cell_length_a 3.4966
_cell_length_b 4.8362
_cell_length_c 9.7455
_cell_angle_alpha 90.00
_cell_angle_beta 90.00
_cell_angle_gamma 90.00
_space_group_name_H-M_alt 'C m m 2'
_space_group_IT_number 35
_space_group_name_Hall 'C 2 -2'
loop_
_atom_site_label
_atom_site_type_symbol
_atom_site_fract_x
_atom_site_fract_y
_atom_site_fract_z
Ta1 Ta 0.0000 0.0000 0.0000
Ta2 Ta 0.0000 0.5000 0.2324
P1 P 0.0000 0.0000 0.4149
Se1 Se 0.0000 0.5000 0.8036
# - crystal system = orthorhombic
# - uncorrected formation energy (eV per formula unit) = -0.92
# - energy above the lowest structure with this stoichiometry (eV per formula unit) = 1.22
# - total magnetic moment (μB/f.u.) = 0.000

=====

12.
# TaP2Se (GGA-PBE, relaxed)
data_TaP2Se
_chemical_formula_sum 'Ta2 P4 Se2'
_cell_length_a 3.2932
_cell_length_b 4.6687
_cell_length_c 9.1261
_cell_angle_alpha 90.00
_cell_angle_beta 90.00
_cell_angle_gamma 90.00
_space_group_name_H-M_alt 'I m m 2'
_space_group_IT_number 44
_space_group_name_Hall 'I 2 -2'
loop_
_atom_site_label
_atom_site_type_symbol
_atom_site_fract_x
_atom_site_fract_y
_atom_site_fract_z
Ta1 Ta 0.0000 0.0000 0.0000
P1 P 0.0000 0.0000 0.4722
P2 P 0.0000 0.5000 0.1415
Se1 Se 0.0000 0.5000 0.7206
# - crystal system = orthorhombic
# - uncorrected formation energy (eV per formula unit) = 0.49
# - total magnetic moment (μB/f.u.) = 0.000

=====

13.
# TaP2Se2 (GGA-PBE, relaxed)
data_TaP2Se2
_chemical_formula_sum 'Ta2 P4 Se4'
_cell_length_a 7.3802
_cell_length_b 7.3802
_cell_length_c 3.2751
_cell_angle_alpha 90.00
_cell_angle_beta 90.00
_cell_angle_gamma 90.00
_space_group_name_H-M_alt 'P 4/m b m'
_space_group_IT_number 127
_space_group_name_Hall '-P 4 2ab'
loop_
_atom_site_label
_atom_site_type_symbol
_atom_site_fract_x
_atom_site_fract_y
_atom_site_fract_z
Ta1 Ta 0.0000 0.0000 0.0000
P1 P 0.1972 0.3028 0.5000
Se1 Se 0.1385 0.6385 0.0000
# - crystal system = tetragonal
# - uncorrected formation energy (eV per formula unit) = 2.56
# - energy above the lowest structure with this stoichiometry (eV per formula unit) = 3.09
# - total magnetic moment (μB/f.u.) = 0.000

=====

14.
# TaP2Se (GGA-PBE, relaxed)
data_TaP2Se
_chemical_formula_sum 'Ta2 P4 Se2'
_cell_length_a 3.9573
_cell_length_b 3.9573
_cell_length_c 8.2152
_cell_angle_alpha 90.00
_cell_angle_beta 90.00
_cell_angle_gamma 90.00
_space_group_name_H-M_alt 'I 4/m m m'
_space_group_IT_number 139
_space_group_name_Hall '-I 4 2'
loop_
_atom_site_label
_atom_site_type_symbol
_atom_site_fract_x
_atom_site_fract_y
_atom_site_fract_z
Ta1 Ta 0.0000 0.0000 0.0000
P1 P 0.0000 0.5000 0.2500
Se1 Se 0.0000 0.0000 0.5000
# - crystal system = tetragonal
# - uncorrected formation energy (eV per formula unit) = 1.35
# - total magnetic moment (μB/f.u.) = 0.000